Entry 1:
# Nd3Mg5Tl2 | the Alexandria database | PBE | optimized geometry
data_Nd3Mg5Tl2
_chemical_formula_sum 'Nd12 Mg20 Tl8'
_cell_length_a 12.9078
_cell_length_b 13.6520
_cell_length_c 6.4122
_cell_angle_alpha 90.00
_cell_angle_beta 90.00
_cell_angle_gamma 90.00
_space_group_name_H-M_alt 'I b a m'
_space_group_IT_number 72
_space_group_name_Hall '-I 2 2c'
loop_
_atom_site_label
_atom_site_fract_x
_atom_site_fract_y
_atom_site_fract_z
Nd1 0.0000 0.0000 0.2500
Nd2 0.1259 0.2481 0.0000
Mg1 0.0000 0.5000 0.2500
Mg2 0.1193 0.3557 0.5000
Mg3 0.2438 0.5000 0.2500
Tl1 0.1385 0.1551 0.5000
# * ΔE_f: -0.0794 eV/atom
# * crystal system: orthorhombic

Entry 2:
# BeMoRh2I | the Alexandria database | PBE | optimized geometry
data_BeMoRh2I
_chemical_formula_sum 'Be1 Mo1 Rh2 I1'
_cell_length_a 4.7756
_cell_length_b 4.7756
_cell_length_c 4.9094
_cell_angle_alpha 90.00
_cell_angle_beta 90.00
_cell_angle_gamma 90.00
_space_group_name_H-M_alt 'P 4/m m m'
_space_group_IT_number 123
_space_group_name_Hall '-P 4 2'
loop_
_atom_site_label
_atom_site_fract_x
_atom_site_fract_y
_atom_site_fract_z
Be1 0.0000 0.0000 0.0000
Mo1 0.5000 0.5000 0.0000
Rh1 0.0000 0.5000 0.5000
I1 0.5000 0.5000 0.5000
# * formation energy (no corrections): 171.0 kJ per mole of atoms
# * crystal system: tetragonal

Entry 3:
# InBiCl2 | the Alexandria database | PBE | optimized geometry
data_InBiCl2
_chemical_formula_sum 'In3 Bi3 Cl6'
_cell_length_a 3.7365
_cell_length_b 3.7365
_cell_length_c 29.7561
_cell_angle_alpha 90.00
_cell_angle_beta 90.00
_cell_angle_gamma 120.00
_space_group_name_H-M_alt 'R -3 m'
_space_group_IT_number 166
_space_group_name_Hall '-R 3 2"'
loop_
_atom_site_label
_atom_site_fract_x
_atom_site_fract_y
_atom_site_fract_z
In1 0.0000 0.0000 0.0000
Bi1 0.0000 0.0000 0.5000
Cl1 0.0000 0.0000 0.4082
# * relative energy among the computed polymorphs: 0.005 kcal/mol of atoms
# * formation energy (no corrections): -56.3 kJ per mole of atoms
# * crystal system: trigonal

Quick rundown of raw total energy, same order as above: -0.102, -0.161, -0.116 hartree per atom